Entry 1:
Material: Tl2BiPb2
Method: DFT, PBE
State: relaxed

Unit cell a=4.419 b=4.419 c=9.167 alpha=76.05 beta=76.05 gamma=90.00
Sites, in units of the cell vectors:
Tl1 0.250 0.750 0.500
Pb1 0.409 0.409 0.183
Bi1 0.000 0.000 0.000
Pb2 0.591 0.591 0.817
Tl2 0.750 0.250 0.500

## Properties
Space group: I4/mmm (139)
E above lowest polymorph: 137 meV/atom
Formation energy: 3.05 kcal/mol of atoms

Entry 2:
Material: Lu2ZrSn
Method: DFT, PBE
State: relaxed

Unit cell a=3.496 b=3.496 c=8.436 alpha=90.00 beta=90.00 gamma=90.00
Sites, in units of the cell vectors:
Sn1 0.500 0.500 0.000
Lu1 0.000 0.000 0.245
Lu2 0.000 0.000 0.755
Zr1 0.500 0.500 0.500

## Properties
Space group: P4/mmm (123)
E above lowest polymorph: 51 meV/atom
Formation energy: -6.30 kcal/mol of atoms

Entry 3:
Material: NiAs2
Method: DFT, PBE
State: relaxed

Unit cell a=4.982 b=4.982 c=4.982 alpha=106.20 beta=106.20 gamma=116.24
Sites, in units of the cell vectors:
Ni1 0.250 0.250 0.000
As1 0.840 0.660 0.500
Ni2 0.750 0.750 0.000
As2 0.160 0.340 0.500
As3 0.340 0.840 0.180
As4 0.660 0.160 0.820

## Properties
Space group: I4/mcm (140)
Formation energy: 0.61 kcal/mol of atoms

Entry 4:
Material: YFeCu2
Method: DFT, PBE
State: relaxed

Unit cell a=4.942 b=4.942 c=4.942 alpha=132.89 beta=132.94 gamma=68.78
Sites, in units of the cell vectors:
Y1 0.250 0.750 0.500
Cu1 0.000 0.000 0.000
Cu2 0.750 0.250 0.500
Fe1 0.500 0.500 0.000

## Properties
Space group: I-4m2 (119)
Formation energy: 3.80 kcal/mol of atoms

Entry 5:
Material: La4PrSm2
Method: DFT, PBE
State: relaxed

Unit cell a=3.655 b=5.970 c=12.198 alpha=104.17 beta=98.62 gamma=90.00
Sites, in units of the cell vectors:
Sm1 0.275 0.275 0.551
La1 0.084 0.584 0.168
La2 0.362 0.862 0.725
La3 0.916 0.416 0.832
Pr1 0.000 0.000 0.000
Sm2 0.725 0.725 0.449
La4 0.638 0.138 0.275

## Properties
Space group: Immm (71)
E above lowest polymorph: 0 meV/atom
Formation energy: 1.82 kcal/mol of atoms

Entry 6:
Material: ErTm6Co3
Method: DFT, PBE
State: relaxed

Unit cell a=7.069 b=8.230 c=8.230 alpha=100.58 beta=90.00 gamma=90.00
Sites, in units of the cell vectors:
Co1 0.467 0.308 0.094
Tm1 0.669 0.975 0.025
Tm2 0.672 0.292 0.375
Tm3 0.813 0.416 0.038
Er1 0.041 0.330 0.670
Tm4 0.672 0.625 0.708
Co2 0.467 0.906 0.692
Tm5 0.169 0.025 0.975
Tm6 0.313 0.038 0.416
Co3 0.967 0.094 0.308
Co4 0.875 0.580 0.420
Er2 0.541 0.670 0.330
Tm7 0.498 0.227 0.773
Co5 0.375 0.420 0.580
Tm8 0.313 0.584 0.962
Tm9 0.998 0.773 0.227
Tm10 0.172 0.375 0.292
Co6 0.967 0.692 0.906
Tm11 0.172 0.708 0.625
Tm12 0.813 0.962 0.584

## Properties
Space group: Cmc2_1 (36)
Formation energy: -3.70 kcal/mol of atoms

Entry 7:
Material: CsKNaHg2
Method: DFT, PBE
State: relaxed

Unit cell a=6.574 b=6.689 c=6.574 alpha=90.00 beta=90.00 gamma=90.00
Sites, in units of the cell vectors:
Hg1 0.000 0.000 0.500
Cs1 0.500 0.500 0.500
Hg2 0.500 0.000 0.000
K1 0.000 0.000 0.000
Na1 0.000 0.500 0.000

## Properties
Space group: P4/mmm (123)
E above lowest polymorph: 168 meV/atom
Formation energy: 0.60 kcal/mol of atoms

Entry 8:
Material: YRuPb2
Method: DFT, PBE
State: relaxed

Unit cell a=5.039 b=5.039 c=5.039 alpha=60.00 beta=60.00 gamma=60.00
Sites, in units of the cell vectors:
Pb1 0.750 0.750 0.750
Y1 0.000 0.000 0.000
Ru1 0.500 0.500 0.500
Pb2 0.250 0.250 0.250

## Properties
Space group: Fm-3m (225)
Formation energy: 0.56 kcal/mol of atoms

Entry 9:
Material: SrCeAg2
Method: DFT, PBE
State: relaxed

Unit cell a=3.821 b=3.821 c=7.732 alpha=90.00 beta=90.00 gamma=90.00
Sites, in units of the cell vectors:
Ag1 0.000 0.000 0.221
Ce1 0.500 0.500 0.000
Ag2 0.000 0.000 0.779
Sr1 0.500 0.500 0.500

## Properties
Space group: P4/mmm (123)
E above lowest polymorph: 0 meV/atom
Formation energy: -3.63 kcal/mol of atoms

Entry 10:
Material: LiZrTa2N4
Method: DFT, PBE
State: relaxed

Unit cell a=3.126 b=5.367 c=5.469 alpha=108.54 beta=90.00 gamma=90.00
Sites, in units of the cell vectors:
Li1 0.000 0.000 0.000
N1 0.500 0.743 0.731
Ta1 0.500 0.000 0.500
Zr1 0.500 0.500 0.000
N2 0.000 0.236 0.741
Ta2 0.000 0.500 0.500
N3 0.500 0.257 0.269
N4 0.000 0.764 0.259

## Properties
Space group: P2/m (10)
E_form (uncorrected): -1.24 eV per atom

Entry 11:
Material: Rb2Tl5In
Method: DFT, PBE
State: relaxed

Unit cell a=6.046 b=7.495 c=7.495 alpha=90.00 beta=90.00 gamma=90.00
Sites, in units of the cell vectors:
Tl1 0.000 0.709 0.291
Rb1 0.500 0.000 0.500
In1 0.000 0.000 0.000
Tl2 0.000 0.709 0.709
Tl3 0.500 0.000 0.000
Tl4 0.000 0.291 0.709
Tl5 0.000 0.291 0.291
Rb2 0.500 0.500 0.000

## Properties
Space group: P4/mmm (123)
E above lowest polymorph: 118 meV/atom
Formation energy: 1.24 kcal/mol of atoms

Entry 12:
Material: MnCr2IrN
Method: DFT, PBE
State: relaxed

Unit cell a=3.839 b=3.839 c=3.859 alpha=90.00 beta=90.00 gamma=90.00
Sites, in units of the cell vectors:
Cr1 0.500 0.000 0.000
Cr2 0.000 0.500 0.000
Ir1 0.500 0.500 0.500
N1 0.000 0.000 0.000
Mn1 0.000 0.000 0.500

## Properties
Space group: P4/mmm (123)
E_form (uncorrected): -0.31 eV per atom

Entry 13:
Material: SbPPb
Method: DFT, PBE
State: relaxed

Unit cell a=4.909 b=4.909 c=4.909 alpha=60.00 beta=60.00 gamma=60.00
Sites, in units of the cell vectors:
P1 0.750 0.750 0.750
Pb1 0.000 0.000 0.000
Sb1 0.500 0.500 0.500

## Properties
Space group: F-43m (216)
E above lowest polymorph: 328 meV/atom
E_form (uncorrected): 0.40 eV per atom

Entry 14:
Material: AlNiMoAu2
Method: DFT, PBE
State: relaxed

Unit cell a=4.631 b=4.253 c=4.631 alpha=90.00 beta=90.00 gamma=90.00
Sites, in units of the cell vectors:
Ni1 0.000 0.500 0.000
Au1 0.000 0.000 0.500
Al1 0.000 0.000 0.000
Mo1 0.500 0.500 0.500
Au2 0.500 0.000 0.000

## Properties
Space group: P4/mmm (123)
Formation energy: 22.51 kcal/mol of atoms

Entry 15:
Material: Ga5Ir2
Method: DFT, PBE
State: relaxed

Unit cell a=4.826 b=7.519 c=7.053 alpha=102.92 beta=110.01 gamma=90.00
Sites, in units of the cell vectors:
Ga1 0.232 0.420 0.160
Ir1 0.457 0.071 0.217
Ga2 0.071 0.080 0.840
Ga3 0.929 0.920 0.160
Ga4 0.768 0.580 0.840
Ga5 0.658 0.250 0.000
Ir2 0.543 0.929 0.783
Ga6 0.356 0.159 0.549
Ga7 0.808 0.341 0.451
Ir3 0.761 0.571 0.217
Ga8 0.342 0.750 0.000
Ga9 0.644 0.841 0.451
Ga10 0.192 0.659 0.549
Ir4 0.239 0.429 0.783

## Properties
Space group: C2/c (15)
Formation energy: -9.19 kcal/mol of atoms

Entry 16:
Material: Ce2SmY6Ho3
Method: DFT, PBE
State: relaxed

Unit cell a=6.164 b=6.164 c=11.784 alpha=95.00 beta=95.00 gamma=119.99
Sites, in units of the cell vectors:
Y1 0.084 0.420 0.250
Ce1 0.667 0.333 0.000
Sm1 0.000 0.000 0.000
Ho1 0.166 0.834 0.500
Y2 0.916 0.580 0.750
Y3 0.580 0.916 0.750
Ce2 0.333 0.667 0.000
Ho2 0.500 0.500 0.500
Ho3 0.834 0.166 0.500
Y4 0.748 0.748 0.250
Y5 0.420 0.084 0.250
Y6 0.252 0.252 0.750

## Properties
Space group: C2/m (12)
Formation energy: 1.23 kcal/mol of atoms

Entry 17:
Material: LiPuGaHg
Method: DFT, PBE
State: relaxed

Unit cell a=4.875 b=4.875 c=4.875 alpha=60.00 beta=60.00 gamma=60.00
Sites, in units of the cell vectors:
Li1 0.000 0.000 0.000
Hg1 0.750 0.750 0.750
Pu1 0.250 0.250 0.250
Ga1 0.500 0.500 0.500

## Properties
Space group: F-43m (216)
Formation energy: -3.17 kcal/mol of atoms

Entry 18:
Material: Pr3Ge2O
Method: DFT, PBE
State: relaxed

Unit cell a=6.058 b=7.843 c=7.288 alpha=105.34 beta=114.56 gamma=90.00
Sites, in units of the cell vectors:
Ge1 0.683 0.585 0.348
Pr1 0.552 0.750 0.000
Ge2 0.665 0.085 0.348
Pr2 0.150 0.576 0.288
Pr3 0.862 0.924 0.712
Ge3 0.317 0.415 0.652
Ge4 0.335 0.915 0.652
O1 0.054 0.250 0.000
O2 0.946 0.750 0.000
Pr4 0.850 0.424 0.712
Pr5 0.138 0.076 0.288
Pr6 0.448 0.250 0.000

## Properties
Space group: C2/c (15)
E above lowest polymorph: 96 meV/atom
E_form (uncorrected): -1.31 eV per atom

Entry 19:
Material: Ce2TcH
Method: DFT, PBE
State: relaxed

Unit cell a=4.038 b=6.990 c=5.954 alpha=101.33 beta=109.82 gamma=90.00
Sites, in units of the cell vectors:
Ce1 0.364 0.122 0.228
H1 0.250 0.750 0.000
Ce2 0.864 0.622 0.228
H2 0.750 0.250 0.000
Ce3 0.136 0.378 0.772
Tc1 0.500 0.500 0.500
Ce4 0.636 0.878 0.772
Tc2 0.000 0.000 0.500

## Properties
Space group: R-3m (166)
E above lowest polymorph: 19 meV/atom

Entry 20:
Material: Sr2TbCeS4
Method: DFT, PBE
State: relaxed

Unit cell a=4.088 b=7.084 c=7.235 alpha=109.00 beta=90.00 gamma=90.00
Sites, in units of the cell vectors:
S1 0.000 0.751 0.237
S2 0.000 0.249 0.763
S3 0.500 0.761 0.767
Sr1 0.500 0.000 0.500
Tb1 0.000 0.000 0.000
Sr2 0.000 0.500 0.500
Ce1 0.500 0.500 0.000
S4 0.500 0.239 0.233

## Properties
Space group: P2/m (10)
E_form (uncorrected): -2.02 eV per atom

Entry 21:
Material: Ca3CrC
Method: DFT, PBE
State: relaxed

Unit cell a=5.108 b=5.108 c=5.108 alpha=90.00 beta=90.00 gamma=90.00
Sites, in units of the cell vectors:
Ca1 0.000 0.500 0.000
Cr1 0.500 0.500 0.500
Ca2 0.500 0.000 0.000
C1 0.000 0.000 0.000
Ca3 0.000 0.000 0.500

## Properties
Space group: Pm-3m (221)
E above lowest polymorph: 0 meV/atom
Formation energy: 11.37 kcal/mol of atoms

Entry 22:
Material: HfPd2Au2
Method: DFT, PBE
State: relaxed

Unit cell a=3.995 b=5.046 c=10.525 alpha=108.96 beta=79.06 gamma=66.68
Sites, in units of the cell vectors:
Hf1 0.499 0.246 0.757
Pd1 0.099 0.750 0.053
Au1 0.899 0.751 0.451
Pd2 0.901 0.250 0.947
Au2 0.101 0.249 0.549
Au3 0.701 0.746 0.851
Au4 0.299 0.254 0.149
Hf2 0.501 0.754 0.243
Pd3 0.704 0.245 0.346
Pd4 0.296 0.755 0.654

## Properties
Space group: C2/m (12)
E above lowest polymorph: 0 meV/atom
Formation energy: -13.64 kcal/mol of atoms

Entry 23:
Material: LaGdInIr
Method: DFT, PBE
State: relaxed

Unit cell a=5.231 b=5.231 c=5.231 alpha=60.00 beta=60.00 gamma=60.00
Sites, in units of the cell vectors:
Ir1 0.750 0.750 0.750
La1 0.000 0.000 0.000
In1 0.250 0.250 0.250
Gd1 0.500 0.500 0.500

## Properties
Space group: F-43m (216)
Formation energy: -10.37 kcal/mol of atoms

Entry 24:
Material: TlPb4
Method: DFT, PBE
State: relaxed

Unit cell a=5.838 b=5.838 c=5.838 alpha=90.00 beta=90.00 gamma=90.00
Sites, in units of the cell vectors:
Pb1 0.000 0.000 0.000
Pb2 0.000 0.500 0.500
Pb3 0.500 0.000 0.500
Pb4 0.500 0.500 0.000
Tl1 0.500 0.500 0.500

## Properties
Space group: Pm-3m (221)
E above lowest polymorph: 546 meV/atom
Formation energy: 12.58 kcal/mol of atoms

Entry 25:
Material: Zr2PbC
Method: DFT, PBE
State: relaxed

Unit cell a=3.415 b=3.415 c=15.004 alpha=90.00 beta=90.00 gamma=120.00
Sites, in units of the cell vectors:
Pb1 0.333 0.667 0.750
Zr1 0.333 0.667 0.082
Pb2 0.667 0.333 0.250
Zr2 0.667 0.333 0.918
Zr3 0.333 0.667 0.418
C1 0.000 0.000 0.500
C2 0.000 0.000 0.000
Zr4 0.667 0.333 0.582

## Properties
Space group: P6_3/mmc (194)
Formation energy: -15.31 kcal/mol of atoms

Entry 26:
Material: La2Tb4Sm2Tm
Method: DFT, PBE
State: relaxed

Unit cell a=3.645 b=9.614 c=9.671 alpha=115.15 beta=90.00 gamma=100.93
Sites, in units of the cell vectors:
La1 0.664 0.329 0.000
Tb1 0.480 0.960 0.667
Tm1 0.000 0.000 0.000
La2 0.336 0.671 0.000
Tb2 0.185 0.370 0.337
Sm1 0.853 0.707 0.337
Tb3 0.520 0.040 0.333
Sm2 0.147 0.293 0.663
Tb4 0.815 0.630 0.663

## Properties
Space group: C2/m (12)
Formation energy: 0.14 kcal/mol of atoms